1.
First-principles (PBE-GGA) data for an optimized crystal structure of BaCdOs2, as listed in the Alexandria database.

The calculation puts the formation energy at 866 meV/atom. The volume is 27.77 Å³ per atom. As for the total magnetic moment: 0.00 μB per formula unit.

It has space group I-42d (No. 122), with a = 4.7717 Å, b = 4.7717 Å, c = 19.5115 Å, α = 90.00°, β = 90.00° and γ = 90.00°. The asymmetric unit holds Ba at (0.0000, 0.0000, 0.0000), Cd at (0.0000, 0.0000, 0.5000) and Os at (0.0511, 0.2500, 0.6250).



2.
First-principles (PBE-GGA) data for an optimized crystal structure of BaCdOs2, as listed in the Alexandria database.

The calculation puts the formation energy at 342 meV/atom. The volume is 26.14 Å³ per atom. As for the total magnetic moment: 0.00 μB per formula unit.

It has space group R3m (No. 160, hexagonal axes), with a = 4.2240 Å, b = 4.2240 Å, c = 20.3001 Å, α = 90.00°, β = 90.00° and γ = 120.00°. The asymmetric unit holds Ba at (0.0000, 0.0000, 0.0000), Cd at (0.0000, 0.0000, 0.2044), Os at (0.0000, 0.0000, 0.4677) and Os at (0.0000, 0.0000, 0.7804).



3.
First-principles (PBE-GGA) data for an optimized crystal structure of BaCd2Os, as listed in the Alexandria database.

The calculation puts the formation energy at 495 meV/atom. The volume is 25.92 Å³ per atom. As for the total magnetic moment: 0.65 μB per formula unit.

It has space group Immm (No. 71), with a = 3.2845 Å, b = 5.5340 Å, c = 11.4071 Å, α = 90.00°, β = 90.00° and γ = 90.00°. The asymmetric unit holds Ba at (0.0000, 0.0000, 0.0000), Cd at (0.0000, 0.5000, 0.1989) and Os at (0.0000, 0.0000, 0.5000).



4.
First-principles (PBE-GGA) data for an optimized crystal structure of BaCdOs2, as listed in the Alexandria database.

The calculation puts the formation energy at 1420 meV/atom. The volume is 21.42 Å³ per atom. As for the total magnetic moment: 2.28 μB per formula unit.

It has space group I4/mmm (No. 139), with a = 4.3540 Å, b = 4.3540 Å, c = 9.0392 Å, α = 90.00°, β = 90.00° and γ = 90.00°. The asymmetric unit holds Ba at (0.0000, 0.0000, 0.0000), Cd at (0.0000, 0.0000, 0.5000) and Os at (0.0000, 0.5000, 0.2500).



5.
First-principles (PBE-GGA) data for an optimized crystal structure of BaCd2Os, as listed in the Alexandria database.

The calculation puts the formation energy at 661 meV/atom. The volume is 24.61 Å³ per atom. As for the total magnetic moment: 0.00 μB per formula unit.

It has space group Fm-3m (No. 225), with a = 7.3300 Å, b = 7.3300 Å, c = 7.3300 Å, α = 90.00°, β = 90.00° and γ = 90.00°. The asymmetric unit holds Ba at (0.0000, 0.0000, 0.0000), Cd at (0.2500, 0.2500, 0.2500) and Os at (0.0000, 0.0000, 0.5000).



6.
First-principles (PBE-GGA) data for an optimized crystal structure of BaCdOs2, as listed in the Alexandria database.

The calculation puts the formation energy at 1282 meV/atom. The volume is 20.73 Å³ per atom. As for the total magnetic moment: 2.08 μB per formula unit.

It has space group P4/mmm (No. 123), with a = 2.9656 Å, b = 2.9656 Å, c = 9.4271 Å, α = 90.00°, β = 90.00° and γ = 90.00°. The asymmetric unit holds Ba at (0.0000, 0.0000, 0.0000), Cd at (0.0000, 0.0000, 0.5000) and Os at (0.5000, 0.5000, 0.2838).



7.
First-principles (PBE-GGA) data for an optimized crystal structure of BaCd2Os2, as listed in the Alexandria database.

As for the distance to the lowest polymorph of the same formula: 139.3 meV/atom. The calculation puts the formation energy at 667 meV/atom. The volume is 21.70 Å³ per atom. As for the total magnetic moment: 0.74 μB per formula unit.

It has space group P4/mbm (No. 127), with a = 8.4565 Å, b = 8.4565 Å, c = 3.0341 Å, α = 90.00°, β = 90.00° and γ = 90.00°. The asymmetric unit holds Ba at (0.0000, 0.0000, 0.0000), Cd at (0.1843, 0.3157, 0.5000) and Os at (0.1002, 0.6002, 0.0000).



8.
First-principles (PBE-GGA) data for an optimized crystal structure of BaCdOsS2, as listed in the Alexandria database.

The volume is 31.28 Å³ per atom. As for the total magnetic moment: 3.66 μB per formula unit. Its formation energy from raw total energies is 1.071 eV per atom.

It has space group P4/mmm (No. 123), with a = 4.9687 Å, b = 4.9687 Å, c = 6.3359 Å, α = 90.00°, β = 90.00° and γ = 90.00°. The asymmetric unit holds Ba at (0.0000, 0.0000, 0.0000), Cd at (0.0000, 0.0000, 0.5000), Os at (0.5000, 0.5000, 0.0000) and S at (0.0000, 0.5000, 0.5000).